Material: NaTlZnF6
Method: DFT, PBE-GGA
State: optimized geometry

Unit cell a=5.663 b=5.663 c=9.631 alpha=90.00 beta=90.00 gamma=120.00
Atoms (fractional coordinates):
Na  0.000  0.000  0.000
Na  0.000  0.000  0.500
Tl  0.333  0.667  0.250
Tl  0.667  0.333  0.750
Zn  0.667  0.333  0.250
Zn  0.333  0.667  0.750
F  0.655  0.637  0.135
F  0.982  0.345  0.135
F  0.345  0.982  0.635
F  0.018  0.655  0.865
F  0.363  0.345  0.365
F  0.982  0.637  0.365
F  0.637  0.982  0.865
F  0.655  0.018  0.365
F  0.018  0.363  0.635
F  0.363  0.018  0.135
F  0.637  0.655  0.635
F  0.345  0.363  0.865

## Properties
space group = P-31c (163)
energy relative to the elements, uncorrected = -2210 meV/atom

---

Material: NaTl2ZnF6
Method: DFT, PBE-GGA
State: optimized geometry

Unit cell a=6.094 b=5.970 c=5.995 alpha=118.81 beta=120.05 gamma=91.35
Each line ends with the local moment (μB).
Atoms (fractional coordinates):
Na  0.502  0.501  0.006  0.00
Tl  0.780  0.282  0.559  0.19
Tl  0.246  0.755  0.506  0.01
Zn  0.999  0.000  0.000  0.00
F  0.699  0.699  0.868  0.03
F  0.812  0.853  0.528  0.04
F  0.353  0.243  0.135  0.05
F  0.793  0.269  0.971  0.03
F  0.134  0.201  0.461  0.04
F  0.181  0.703  0.962  0.03

## Properties
space group = P1 (1)
energy relative to the elements, uncorrected = -2099 meV/atom

---

Material: Na2TlZnF6
Method: DFT, PBE-GGA
State: optimized geometry

Unit cell a=5.795 b=5.794 c=6.086 alpha=61.58 beta=61.57 gamma=59.99
Atoms (fractional coordinates):
Na  0.530  0.530  0.411
Na  0.022  0.022  0.934
Tl  0.810  0.810  0.570
Zn  0.318  0.318  0.046
F  0.578  0.216  0.242
F  0.216  0.963  0.242
F  0.963  0.578  0.242
F  0.409  0.683  0.775
F  0.683  0.132  0.776
F  0.132  0.409  0.776

## Properties
space group = R3 (146)
energy relative to the elements, uncorrected = -2296 meV/atom